# 1
GGA-PBE Zr3TlO, relaxed; SG = Cmmm; uncorrected energy = -7.623 eV per atom; uncorrected formation energy = -1029 meV per atom
1.0
4.567 -6.130 0.000
4.567 6.130 0.000
0.000 0.000 3.455
Zr Tl O
6 2 2
Cartesian
2.625 1.644 1.728 Zr
4.567 3.449 0.000 Zr
2.625 -1.644 1.728 Zr
6.510 1.644 1.728 Zr
4.567 -3.449 0.000 Zr
6.510 -1.644 1.728 Zr
0.000 0.000 1.728 Tl
4.567 0.000 0.000 Tl
2.284 3.065 0.000 O
2.284 -3.065 0.000 O

---

# 2
GGA-PBE ZrTl3O, relaxed; SG = Pm-3m; uncorrected energy = -3.153 eV per atom; uncorrected formation energy = 968 meV per atom; distance to the lowest polymorph of the same formula = 808 meV per atom
1.0
5.716 0.000 0.000
0.000 5.716 0.000
0.000 0.000 5.716
Zr Tl O
1 3 1
Cartesian
0.000 0.000 0.000 Zr
0.000 0.000 2.858 Tl
0.000 2.858 0.000 Tl
2.858 0.000 0.000 Tl
2.858 2.858 2.858 O